Record 1
The following is a PBE calculation of a relaxed structure of RbAg2Bi2, from the Alexandria database.

Properties
Calculated density (g/cm3): 7.48
DFT formation energy (eV per atom): -0.04
DOS(E_F) (states/eV/cell): 3.52
Electronic total energy (eV per atom): -2.93

Geometry as POSCAR:
```
RbAg2Bi2
1.0
-2.637 2.637 5.735
2.637 -2.637 5.735
2.637 2.637 -5.735
Rb Ag Bi
1 2 2
direct
0.000 0.000 0.000
0.370 0.370 0.000
0.630 0.630 0.000
0.250 0.750 0.500
0.750 0.250 0.500
```

=====

Record 2
The following is a PBE calculation of a relaxed structure of KCaSeCl2, from the Alexandria database.

Properties
Formation energy without anion corrections (eV/atom): -1.59
Calculated density (g/cm3): 2.25
DOS(E_F) (states/eV/cell): 5.44
Electronic total energy (eV per atom): -3.64

Geometry as POSCAR:
```
KCaSeCl2
1.0
5.403 0.000 0.000
0.000 5.403 0.000
0.000 0.000 5.797
K Ca Se Cl
1 1 1 2
direct
0.000 0.000 0.000
0.500 0.500 0.500
0.500 0.500 0.000
0.000 0.500 0.500
0.500 0.000 0.500
```

=====

Record 3
The following is a PBE calculation of a relaxed structure of Y2HgCl, from the Alexandria database.

Properties
Formation energy without anion corrections (eV/atom): -0.90
Calculated density (g/cm3): 6.54
DOS(E_F) (states/eV/cell): 3.73
Electronic total energy (eV per atom): -4.67

Geometry as POSCAR:
```
Y2HgCl
1.0
5.398 0.000 0.000
0.000 5.398 0.000
0.000 0.000 3.604
Y Hg Cl
2 1 1
direct
0.000 0.500 0.000
0.500 0.000 0.000
0.000 0.000 0.500
0.500 0.500 0.000
```

=====

Record 4
The following is a PBE calculation of a relaxed structure of LiPu2BiO8, from the Alexandria database.

Properties
Formation energy without anion corrections (eV/atom): -1.81
Calculated density (g/cm3): 9.00
DOS(E_F) (states/eV/cell): 5.67
Electronic total energy (eV per atom): -7.99

Geometry as POSCAR:
```
LiPu2BiO8
1.0
5.663 0.000 0.000
-2.832 4.904 0.000
0.000 0.000 5.525
Li Pu Bi O
1 2 1 8
direct
0.000 0.000 0.000
0.333 0.667 0.919
0.667 0.333 0.081
0.000 0.000 0.500
0.060 0.345 0.177
0.285 0.940 0.177
0.333 0.667 0.582
0.345 0.285 0.823
0.655 0.715 0.177
0.667 0.333 0.418
0.715 0.060 0.823
0.940 0.655 0.823
```

=====

Record 5
The following is a PBE calculation of a relaxed structure of LiLaCr2, from the Alexandria database.

Properties
Calculated density (g/cm3): 4.72
DFT formation energy (eV per atom): 0.44
DOS(E_F) (states/eV/cell): 2.88
Electronic total energy (eV per atom): -6.09

Geometry as POSCAR:
```
LiLaCr2
1.0
3.796 -2.181 0.000
3.796 2.181 0.000
-2.515 0.000 5.303
Li La Cr
1 1 2
direct
0.000 0.000 0.000
0.204 0.204 0.615
0.411 0.411 0.236
0.738 0.738 0.216
```

=====

Record 6
The following is a PBE calculation of a relaxed structure of Nd6In5Ga, from the Alexandria database.

Properties
Calculated density (g/cm3): 7.33
DFT formation energy (eV per atom): -0.50
DOS(E_F) (states/eV/cell): 5.72
Electronic total energy (eV per atom): -4.28

Geometry as POSCAR:
```
Nd6In5Ga
1.0
2.720 -8.160 0.000
2.720 8.160 0.000
0.000 0.000 7.706
Nd In Ga
6 5 1
direct
0.000 0.000 0.243
0.000 0.000 0.757
0.337 0.663 0.247
0.337 0.663 0.753
0.663 0.337 0.247
0.663 0.337 0.753
0.168 0.832 0.500
0.170 0.830 0.000
0.500 0.500 0.500
0.830 0.170 0.000
0.832 0.168 0.500
0.500 0.500 0.000
```

=====

Record 7
The following is a PBE calculation of a relaxed structure of Mg2CoH6Pd, from the Alexandria database.

Properties
Calculated density (g/cm3): 4.55
DOS(E_F) (states/eV/cell): 0.94
Electronic total energy (eV per atom): -3.76

Geometry as POSCAR:
```
Mg2CoH6Pd
1.0
4.822 0.000 0.000
2.367 4.208 0.000
2.393 1.401 3.961
Mg Co H Pd
2 1 6 1
direct
0.249 0.249 0.249
0.751 0.751 0.751
0.000 0.000 0.000
0.178 0.776 0.286
0.226 0.711 0.826
0.291 0.174 0.763
0.709 0.826 0.237
0.774 0.289 0.174
0.822 0.224 0.714
0.500 0.500 0.500
```

=====

Record 8
The following is a PBE calculation of a relaxed structure of TlCdNi2, from the Alexandria database.

Properties
Calculated density (g/cm3): 10.43
DFT formation energy (eV per atom): 0.22
DOS(E_F) (states/eV/cell): 4.03
Electronic total energy (eV per atom): -3.49

Geometry as POSCAR:
```
TlCdNi2
1.0
3.102 0.000 0.000
0.000 3.102 0.000
0.000 0.000 7.184
Tl Cd Ni
1 1 2
direct
0.000 0.000 0.000
0.500 0.500 0.362
0.000 0.000 0.591
0.500 0.500 0.750
```